1.
DFT (GGA-PBE) results for Sm2Ho5Sc2 after structural relaxation.

Results
energy relative to the elements	19	kJ/mol of atoms
energy above the lowest structure with this stoichiometry	151.1	meV/atom
total energy	-4.807	eV per atom

Unit cell a=10.219 b=10.219 c=10.219 alpha=85.09 beta=104.68 gamma=146.33
Sites, in units of the cell vectors:
Sm: 0.000 0.000 0.000
Sm: 0.000 0.500 0.500
Sm: 0.809 0.607 0.702
Sm: 0.905 0.107 0.298
Ho: 0.072 0.524 0.833
Ho: 0.072 0.739 0.049
Ho: 0.142 0.075 0.567
Ho: 0.362 0.087 0.361
Ho: 0.362 0.501 0.776
Ho: 0.508 0.575 0.433
Ho: 0.690 0.024 0.951
Ho: 0.690 0.239 0.167
Ho: 0.725 0.001 0.639
Ho: 0.725 0.587 0.224
Sc: 0.344 0.540 0.094
Sc: 0.344 0.750 0.304
Sc: 0.446 0.040 0.696
Sc: 0.446 0.250 0.906



2.
DFT (GGA-PBE) results for Sm4Ho6Sc after structural relaxation.

Results
energy relative to the elements	13	kJ/mol of atoms
total energy	-4.654	eV per atom

Unit cell a=5.561 b=5.561 c=25.629 alpha=90.00 beta=90.00 gamma=118.86
Sites, in units of the cell vectors:
Sm: 0.026 0.974 0.622
Sm: 0.026 0.974 0.878
Sm: 0.343 0.657 0.546
Sm: 0.343 0.657 0.954
Sm: 0.657 0.343 0.046
Sm: 0.657 0.343 0.454
Sm: 0.974 0.026 0.122
Sm: 0.974 0.026 0.378
Ho: 0.000 0.000 0.000
Ho: 0.000 0.000 0.500
Ho: 0.017 0.983 0.750
Ho: 0.312 0.688 0.110
Ho: 0.312 0.688 0.390
Ho: 0.353 0.647 0.684
Ho: 0.353 0.647 0.816
Ho: 0.647 0.353 0.184
Ho: 0.647 0.353 0.316
Ho: 0.688 0.312 0.610
Ho: 0.688 0.312 0.890
Ho: 0.983 0.017 0.250
Sc: 0.317 0.683 0.250
Sc: 0.683 0.317 0.750